No. 1
# PBEsol MnBe3H, optimized geometry
data_MnBe3H
_symmetry_space_group_name_H-M 'P m -3 m'
_symmetry_Int_Tables_number 221
_symmetry_space_group_name_Hall '-P 4 2 3'
_cell_length_a 3.279
_cell_length_b 3.279
_cell_length_c 3.279
_cell_angle_alpha 90.00
_cell_angle_beta 90.00
_cell_angle_gamma 90.00
loop_
_atom_site_label
_atom_site_type_symbol
_atom_site_fract_x
_atom_site_fract_y
_atom_site_fract_z
_atom_site_occupancy
Mn1 Mn 0.000 0.000 0.000 1
Be1 Be 0.000 0.500 0.500 1
H1 H 0.500 0.500 0.500 1
# Uncorrected energy, Ry/atom: -0.3620

No. 2
# PBEsol CuC4, optimized geometry
data_CuC4
_symmetry_space_group_name_H-M 'I 4/m m m'
_symmetry_Int_Tables_number 139
_symmetry_space_group_name_Hall '-I 4 2'
_cell_length_a 4.960
_cell_length_b 4.960
_cell_length_c 4.848
_cell_angle_alpha 90.00
_cell_angle_beta 90.00
_cell_angle_gamma 90.00
loop_
_atom_site_label
_atom_site_type_symbol
_atom_site_fract_x
_atom_site_fract_y
_atom_site_fract_z
_atom_site_occupancy
Cu1 Cu 0.000 0.000 0.000 1
C1 C 0.000 0.373 0.000 1
# Energy relative to the elements, eV per atom: 1.849
# Uncorrected energy, Ry/atom: -0.4948

No. 3
# PBEsol KBeAg2, optimized geometry
data_KBeAg2
_symmetry_space_group_name_H-M 'R -3 m'
_symmetry_Int_Tables_number 166
_symmetry_space_group_name_Hall '-R 3 2"'
_cell_length_a 4.3035
_cell_length_b 4.3035
_cell_length_c 17.9291
_cell_angle_alpha 90.00
_cell_angle_beta 90.00
_cell_angle_gamma 120.00
loop_
_atom_site_label
_atom_site_type_symbol
_atom_site_fract_x
_atom_site_fract_y
_atom_site_fract_z
_atom_site_occupancy
K1 K 0.0000 0.0000 0.0000 1
Be1 Be 0.0000 0.0000 0.5000 1
Ag1 Ag 0.0000 0.0000 0.1910 1
# Energy relative to the elements, eV per atom: 0.247
# Uncorrected energy, Ry/atom: -0.1978

No. 4
# PBEsol CaTe2Mo, optimized geometry
data_CaTe2Mo
_symmetry_space_group_name_H-M 'P 4/m m m'
_symmetry_Int_Tables_number 123
_symmetry_space_group_name_Hall '-P 4 2'
_cell_length_a 5.049
_cell_length_b 5.049
_cell_length_c 3.491
_cell_angle_alpha 90.00
_cell_angle_beta 90.00
_cell_angle_gamma 90.00
loop_
_atom_site_label
_atom_site_type_symbol
_atom_site_fract_x
_atom_site_fract_y
_atom_site_fract_z
_atom_site_occupancy
Ca1 Ca 0.000 0.000 0.000 1
Te1 Te 0.000 0.500 0.500 1
Mo1 Mo 0.500 0.500 0.000 1
# E_form (uncorrected), meV/atom: -162
# Uncorrected energy, Ry/atom: -0.3969

No. 5
# PBEsol CsAu, optimized geometry
data_CsAu
_symmetry_space_group_name_H-M 'P m -3 m'
_symmetry_Int_Tables_number 221
_symmetry_space_group_name_Hall '-P 4 2 3'
_cell_length_a 4.157
_cell_length_b 4.157
_cell_length_c 4.157
_cell_angle_alpha 90.00
_cell_angle_beta 90.00
_cell_angle_gamma 90.00
loop_
_atom_site_label
_atom_site_type_symbol
_atom_site_fract_x
_atom_site_fract_y
_atom_site_fract_z
_atom_site_occupancy
Cs1 Cs 0.000 0.000 0.000 1
Au1 Au 0.500 0.500 0.500 1
# Energy relative to the elements, eV per atom: -0.172
# Uncorrected energy, Ry/atom: -0.1915

No. 6
# PBEsol CrRuRh2, optimized geometry
data_CrRuRh2
_symmetry_space_group_name_H-M 'P 4 m m'
_symmetry_Int_Tables_number 99
_cell_length_a 2.641
_cell_length_b 2.641
_cell_length_c 7.390
_cell_angle_alpha 90.00
_cell_angle_beta 90.00
_cell_angle_gamma 90.00
loop_
_symmetry_equiv_pos_as_xyz
'x,y,z'
'-y,x,z'
'-x,-y,z'
'y,-x,z'
'-x,y,z'
'y,x,z'
'x,-y,z'
'-y,-x,z'
loop_
_atom_site_label
_atom_site_type_symbol
_atom_site_fract_x
_atom_site_fract_y
_atom_site_fract_z
_atom_site_occupancy
Cr1 Cr 0.000 0.000 0.000 1
Ru1 Ru 0.500 0.500 0.760 1
Rh1 Rh 0.000 0.000 0.504 1
Rh2 Rh 0.500 0.500 0.236 1
# Energy relative to the elements, eV per atom: 0.004
# Uncorrected energy, Ry/atom: -0.6739

No. 7
# PBEsol KTi6Se8, optimized geometry
data_KTi6Se8
_symmetry_space_group_name_H-M 'P -3'
_symmetry_Int_Tables_number 147
_cell_length_a 9.7928
_cell_length_b 9.7928
_cell_length_c 3.5275
_cell_angle_alpha 90.00
_cell_angle_beta 90.00
_cell_angle_gamma 120.00
loop_
_symmetry_equiv_pos_as_xyz
'x,y,z'
'-x,-y,-z'
'-y,x-y,z'
'y,-x+y,-z'
'-x+y,-x,z'
'x-y,x,-z'
loop_
_atom_site_label
_atom_site_type_symbol
_atom_site_fract_x
_atom_site_fract_y
_atom_site_fract_z
_atom_site_occupancy
K1 K 0.0000 0.0000 0.0000 1
Ti1 Ti 0.1292 0.4917 0.7509 1
Se1 Se 0.0517 0.7023 0.7479 1
Se2 Se 0.3333 0.6667 0.2506 1
# E_form (uncorrected), meV/atom: -1281
# Uncorrected energy, Ry/atom: -0.4953

No. 8
# PBEsol Cu2ReAs, optimized geometry
data_Cu2ReAs
_symmetry_space_group_name_H-M 'C m m m'
_symmetry_Int_Tables_number 65
_symmetry_space_group_name_Hall '-C 2 2'
_cell_length_a 3.698
_cell_length_b 3.725
_cell_length_c 8.107
_cell_angle_alpha 90.00
_cell_angle_beta 90.00
_cell_angle_gamma 90.00
loop_
_atom_site_label
_atom_site_type_symbol
_atom_site_fract_x
_atom_site_fract_y
_atom_site_fract_z
_atom_site_occupancy
Cu1 Cu 0.000 0.000 0.236 1
Re1 Re 0.000 0.500 0.000 1
As1 As 0.000 0.500 0.500 1
# Energy relative to the elements, eV per atom: 0.343
# Uncorrected energy, Ry/atom: -0.4729

No. 9
# PBEsol La2YZn, optimized geometry
data_La2YZn
_symmetry_space_group_name_H-M 'P 4/m m m'
_symmetry_Int_Tables_number 123
_symmetry_space_group_name_Hall '-P 4 2'
_cell_length_a 5.536
_cell_length_b 5.536
_cell_length_c 3.705
_cell_angle_alpha 90.00
_cell_angle_beta 90.00
_cell_angle_gamma 90.00
loop_
_atom_site_label
_atom_site_type_symbol
_atom_site_fract_x
_atom_site_fract_y
_atom_site_fract_z
_atom_site_occupancy
La1 La 0.000 0.500 0.000 1
Y1 Y 0.000 0.000 0.500 1
Zn1 Zn 0.500 0.500 0.500 1
# Energy relative to the elements, eV per atom: -0.026
# Uncorrected energy, Ry/atom: -0.3528

No. 10
# PBEsol NaSnB2I, optimized geometry
data_NaSnB2I
_symmetry_space_group_name_H-M 'P 4/m m m'
_symmetry_Int_Tables_number 123
_symmetry_space_group_name_Hall '-P 4 2'
_cell_length_a 4.388
_cell_length_b 4.388
_cell_length_c 7.142
_cell_angle_alpha 90.00
_cell_angle_beta 90.00
_cell_angle_gamma 90.00
loop_
_atom_site_label
_atom_site_type_symbol
_atom_site_fract_x
_atom_site_fract_y
_atom_site_fract_z
_atom_site_occupancy
Na1 Na 0.000 0.000 0.000 1
Sn1 Sn 0.000 0.000 0.500 1
B1 B 0.000 0.500 0.500 1
I1 I 0.500 0.500 0.000 1
# E_form (uncorrected), meV/atom: 1094
# Uncorrected energy, Ry/atom: -0.2350

No. 11
# PBEsol CdAs2Ru, optimized geometry
data_CdAs2Ru
_symmetry_space_group_name_H-M 'C m m m'
_symmetry_Int_Tables_number 65
_symmetry_space_group_name_Hall '-C 2 2'
_cell_length_a 5.674
_cell_length_b 7.292
_cell_length_c 3.232
_cell_angle_alpha 90.00
_cell_angle_beta 90.00
_cell_angle_gamma 90.00
loop_
_atom_site_label
_atom_site_type_symbol
_atom_site_fract_x
_atom_site_fract_y
_atom_site_fract_z
_atom_site_occupancy
Cd1 Cd 0.000 0.000 0.000 1
As1 As 0.250 0.250 0.500 1
Ru1 Ru 0.000 0.500 0.000 1
# Energy relative to the elements, eV per atom: 0.329
# Uncorrected energy, Ry/atom: -0.3724

No. 12
# PBEsol ReAg2As, optimized geometry
data_ReAg2As
_symmetry_space_group_name_H-M 'C m m 2'
_symmetry_Int_Tables_number 35
_cell_length_a 3.040
_cell_length_b 4.681
_cell_length_c 9.412
_cell_angle_alpha 90.00
_cell_angle_beta 90.00
_cell_angle_gamma 90.00
loop_
_symmetry_equiv_pos_as_xyz
'x,y,z'
'-x,-y,z'
'-x,y,z'
'x,-y,z'
'x+1/2,y+1/2,z'
'-x+1/2,-y+1/2,z'
'-x+1/2,y+1/2,z'
'x+1/2,-y+1/2,z'
loop_
_atom_site_label
_atom_site_type_symbol
_atom_site_fract_x
_atom_site_fract_y
_atom_site_fract_z
_atom_site_occupancy
Re1 Re 0.000 0.000 0.000 1
Ag1 Ag 0.000 0.000 0.502 1
Ag2 Ag 0.000 0.500 0.254 1
As1 As 0.000 0.500 0.790 1
# Energy relative to the elements, eV per atom: 0.413
# Uncorrected energy, Ry/atom: -0.4301

- uncorrected energy of number 2 (CuC4)?
  -0.4948 Ry/atom

- Which of these has the highest uncorrected energy?
  CsAu

- What is the formula in the eighth record?
  Cu2ReAs

What did the ninth record say?
# PBEsol La2YZn, optimized geometry
data_La2YZn
_symmetry_space_group_name_H-M 'P 4/m m m'
_symmetry_Int_Tables_number 123
_symmetry_space_group_name_Hall '-P 4 2'
_cell_length_a 5.536
_cell_length_b 5.536
_cell_length_c 3.705
_cell_angle_alpha 90.00
_cell_angle_beta 90.00
_cell_angle_gamma 90.00
loop_
_atom_site_label
_atom_site_type_symbol
_atom_site_fract_x
_atom_site_fract_y
_atom_site_fract_z
_atom_site_occupancy
La1 La 0.000 0.500 0.000 1
Y1 Y 0.000 0.000 0.500 1
Zn1 Zn 0.500 0.500 0.500 1
# Energy relative to the elements, eV per atom: -0.026
# Uncorrected energy, Ry/atom: -0.3528